# 1
Density functional theory data (PBE) for an optimized crystal structure of Cu2SiAs.

The structure in CIF format:
```
data_Cu2SiAs
_chemical_formula_sum 'Cu2 Si1 As1'
_cell_length_a 2.881
_cell_length_b 3.958
_cell_length_c 5.089
_cell_angle_alpha 90.00
_cell_angle_beta 90.00
_cell_angle_gamma 90.00
_symmetry_space_group_name_H-M 'P m m 2'
_symmetry_Int_Tables_number 25
_symmetry_space_group_name_Hall 'P 2 -2'
loop_
_atom_site_label
_atom_site_fract_x
_atom_site_fract_y
_atom_site_fract_z
_atom_site_occupancy
Cu1 0.000 0.000 0.000 1
Cu2 0.500 0.500 0.297 1
Si1 0.000 0.000 0.480 1
As1 0.500 0.500 0.802 1
```

- VASP energy (eV per formula unit) = -17.33
- raw formation energy (eV per atom) = 0.234

---

# 2
Density functional theory data (PBE) for an optimized crystal structure of ScZnPb2W.

The structure in CIF format:
```
data_ScZnPb2W
_chemical_formula_sum 'Sc1 Zn1 Pb2 W1'
_cell_length_a 5.330
_cell_length_b 5.330
_cell_length_c 4.934
_cell_angle_alpha 90.00
_cell_angle_beta 90.00
_cell_angle_gamma 90.00
_symmetry_space_group_name_H-M 'P 4/m m m'
_symmetry_Int_Tables_number 123
_symmetry_space_group_name_Hall '-P 4 2'
loop_
_atom_site_label
_atom_site_fract_x
_atom_site_fract_y
_atom_site_fract_z
_atom_site_occupancy
Sc1 0.000 0.000 0.000 1
Zn1 0.500 0.500 0.000 1
Pb1 0.000 0.500 0.500 1
W1 0.500 0.500 0.500 1
```

- VASP energy (eV per formula unit) = -23.94

---

# 3
Density functional theory data (PBE) for an optimized crystal structure of TcNi2SbTe.

The structure in CIF format:
```
data_TcNi2SbTe
_chemical_formula_sum 'Tc1 Ni2 Sb1 Te1'
_cell_length_a 4.590
_cell_length_b 4.590
_cell_length_c 6.026
_cell_angle_alpha 90.00
_cell_angle_beta 90.00
_cell_angle_gamma 90.00
_symmetry_space_group_name_H-M 'P 4/m m m'
_symmetry_Int_Tables_number 123
_symmetry_space_group_name_Hall '-P 4 2'
loop_
_atom_site_label
_atom_site_fract_x
_atom_site_fract_y
_atom_site_fract_z
_atom_site_occupancy
Tc1 0.000 0.000 0.000 1
Ni1 0.000 0.500 0.500 1
Sb1 0.500 0.500 0.500 1
Te1 0.500 0.500 0.000 1
```

- VASP energy (eV per formula unit) = -22.59
- raw formation energy (eV per atom) = 1.320

---

# 4
Density functional theory data (PBE) for an optimized crystal structure of Rb2GaSnH2.

The structure in CIF format:
```
data_Rb2GaSnH2
_chemical_formula_sum 'Rb8 Ga4 Sn4 H8'
_cell_length_a 11.304
_cell_length_b 8.152
_cell_length_c 7.572
_cell_angle_alpha 90.00
_cell_angle_beta 90.00
_cell_angle_gamma 90.00
_symmetry_space_group_name_H-M 'C m c 21'
_symmetry_Int_Tables_number 36
_symmetry_space_group_name_Hall 'C 2c -2'
loop_
_atom_site_label
_atom_site_fract_x
_atom_site_fract_y
_atom_site_fract_z
_atom_site_occupancy
Rb1 0.191 0.156 0.000 1
Ga1 0.000 0.283 0.624 1
Sn1 0.000 0.437 0.288 1
H1 0.113 0.155 0.625 1
```

- VASP energy (eV per formula unit) = -16.19

---

# 5
Density functional theory data (PBE) for an optimized crystal structure of Y2Co5Cu5.

The structure in CIF format:
```
data_Y2Co5Cu5
_chemical_formula_sum 'Y2 Co5 Cu5'
_cell_length_a 4.083
_cell_length_b 4.846
_cell_length_c 8.673
_cell_angle_alpha 90.00
_cell_angle_beta 90.00
_cell_angle_gamma 90.00
_symmetry_space_group_name_H-M 'P m m m'
_symmetry_Int_Tables_number 47
_symmetry_space_group_name_Hall '-P 2 2'
loop_
_atom_site_label
_atom_site_fract_x
_atom_site_fract_y
_atom_site_fract_z
_atom_site_occupancy
Y1 0.000 0.000 0.000 1
Y2 0.000 0.500 0.500 1
Co1 0.500 0.000 0.500 1
Co2 0.500 0.253 0.258 1
Cu1 0.000 0.000 0.331 1
Cu2 0.000 0.500 0.172 1
Cu3 0.500 0.500 0.000 1
```

- VASP energy (eV per formula unit) = -70.21
- ΔE to the lowest computed polymorph (eV per formula unit) = 0.00

---

# 6
Density functional theory data (PBE) for an optimized crystal structure of Pr3YHg.

The structure in CIF format:
```
data_Pr3YHg
_chemical_formula_sum 'Pr12 Y4 Hg4'
_cell_length_a 19.853
_cell_length_b 3.793
_cell_length_c 8.836
_cell_angle_alpha 90.00
_cell_angle_beta 103.59
_cell_angle_gamma 90.00
_symmetry_space_group_name_H-M 'C 1 2/m 1'
_symmetry_Int_Tables_number 12
_symmetry_space_group_name_Hall '-C 2y'
loop_
_atom_site_label
_atom_site_fract_x
_atom_site_fract_y
_atom_site_fract_z
_atom_site_occupancy
Pr1 0.004 0.000 0.290 1
Pr2 0.096 0.500 0.036 1
Pr3 0.186 0.000 0.379 1
Y1 0.204 0.000 0.830 1
Hg1 0.107 0.500 0.588 1
```

- VASP energy (eV per formula unit) = -21.99
- ΔE to the lowest computed polymorph (eV per formula unit) = 0.00